Entry 1:
Computed, not measured: a geometry-optimized Pr3NbO7 structure at the GGA-PBEsol level of DFT.

Geometry as POSCAR:
```
Pr3NbO7
1.0
6.6510 -0.0318 0.0000
-2.4325 6.1903 0.0000
0.0000 0.0000 7.6990
Pr Nb O
6 2 14
Direct
0.9231 0.4746 0.2500
0.0769 0.5254 0.7500
0.4746 0.9231 0.2500
0.5254 0.0769 0.7500
0.0000 0.0000 0.5000
0.0000 0.0000 0.0000
0.5000 0.5000 0.5000
0.5000 0.5000 0.0000
0.5739 0.5739 0.2500
0.4261 0.4261 0.7500
0.1053 0.8445 0.2500
0.8947 0.1555 0.7500
0.8445 0.1053 0.2500
0.1555 0.8947 0.7500
0.1846 0.4380 0.0371
0.8154 0.5620 0.5371
0.4380 0.1846 0.0371
0.5620 0.8154 0.5371
0.1846 0.4380 0.4629
0.8154 0.5620 0.9629
0.5620 0.8154 0.9629
0.4380 0.1846 0.4629
```

---

Entry 2:
Computed, not measured: a geometry-optimized RbPrNb2O7 structure at the GGA-PBEsol level of DFT.

Geometry as POSCAR:
```
RbPrNb2O7
1.0
-3.6131 3.3034 -2.4451
-3.7780 -4.0612 0.0959
-7.1805 3.0956 8.6694
Rb Pr Nb O
2 2 4 14
Direct
0.5000 0.5000 0.0000
0.0000 0.0000 0.0000
0.7500 0.7389 0.5000
0.2500 0.2611 0.5000
0.1480 0.6537 0.7039
0.8520 0.3463 0.2961
0.6480 0.1424 0.7039
0.3520 0.8576 0.2961
0.2500 0.6797 0.5000
0.7500 0.3203 0.5000
0.0678 0.6313 0.8645
0.9322 0.3687 0.1355
0.5678 0.0042 0.8645
0.4322 0.9958 0.1355
0.9289 0.9289 0.6423
0.5711 0.0711 0.3577
0.4289 0.9289 0.6423
0.0711 0.0711 0.3577
0.4048 0.4048 0.6904
0.0952 0.5952 0.3096
0.9048 0.4048 0.6904
0.5952 0.5952 0.3096
```

---

Entry 3:
Computed, not measured: a geometry-optimized Pr2Nb2S7O30 structure at the GGA-PBEsol level of DFT.

Geometry as POSCAR:
```
Pr2Nb2S7O30
1.0
7.1916 0.0000 0.0000
0.0000 12.9626 0.0000
0.0000 0.0000 12.9626
Pr Nb S O
4 4 14 60
Direct
0.4052 0.1974 0.3026
0.5948 0.3026 0.8026
0.4052 0.8026 0.6974
0.5948 0.6974 0.1974
0.0177 0.3634 0.1366
0.9823 0.1366 0.6366
0.0177 0.6366 0.8634
0.9823 0.8634 0.3634
0.6570 0.5000 0.0000
0.3430 0.0000 0.5000
0.1055 0.6224 0.1224
0.8945 0.8776 0.6224
0.1055 0.3776 0.8776
0.8945 0.1224 0.3776
0.7054 0.4335 0.3226
0.2946 0.0665 0.8226
0.7054 0.5665 0.6774
0.2946 0.9335 0.1774
0.2946 0.3226 0.5665
0.7054 0.1774 0.0665
0.2946 0.6774 0.4335
0.7054 0.8226 0.9335
0.2072 0.3018 0.1982
0.7928 0.1982 0.6982
0.2072 0.6982 0.8018
0.7928 0.8018 0.3018
0.5423 0.4338 0.9338
0.4577 0.0662 0.4338
0.5423 0.5662 0.0662
0.4577 0.9338 0.5662
0.7782 0.4343 0.0657
0.2218 0.0657 0.5657
0.7782 0.5657 0.9343
0.2218 0.9343 0.4343
0.9220 0.6551 0.1551
0.0780 0.8449 0.6551
0.9220 0.3449 0.8449
0.0780 0.1551 0.3449
0.2561 0.6752 0.1752
0.7439 0.8248 0.6752
0.2561 0.3248 0.8248
0.7439 0.1752 0.3248
0.1289 0.5086 0.1407
0.8711 0.9914 0.6407
0.1289 0.4914 0.8593
0.8711 0.0086 0.3593
0.8711 0.1407 0.4914
0.1289 0.3593 0.9914
0.8711 0.8593 0.5086
0.1289 0.6407 0.0086
0.5494 0.3682 0.2894
0.4506 0.1318 0.7894
0.5494 0.6318 0.7106
0.4506 0.8682 0.2106
0.4506 0.2894 0.6318
0.5494 0.2106 0.1318
0.4506 0.7106 0.3682
0.5494 0.7894 0.8682
0.6767 0.5406 0.2910
0.3233 0.9594 0.7910
0.6767 0.4594 0.7090
0.3233 0.0406 0.2090
0.3233 0.2910 0.4594
0.6767 0.2090 0.9594
0.3233 0.7090 0.5406
0.6767 0.7910 0.0406
0.7367 0.4226 0.4330
0.2633 0.0774 0.9330
0.7367 0.5774 0.5670
0.2633 0.9226 0.0670
0.2633 0.4330 0.5774
0.7367 0.0670 0.0774
0.2633 0.5670 0.4226
0.7367 0.9330 0.9226
0.8798 0.3936 0.2671
0.1202 0.1064 0.7671
0.8798 0.6064 0.7329
0.1202 0.8936 0.2329
0.1202 0.2671 0.6064
0.8798 0.2329 0.1064
0.1202 0.7329 0.3936
0.8798 0.7671 0.8936
```

---

Entry 4:
Computed, not measured: a geometry-optimized Nb5Pt3O structure at the GGA-PBEsol level of DFT.

Geometry as POSCAR:
```
Nb5Pt3O
1.0
-4.7962 1.2192 -0.8598
-2.3622 -5.9154 4.7893
1.3110 7.2683 2.9937
Nb Pt O
10 6 2
Direct
0.7500 0.7625 0.7625
0.0000 0.3333 0.6667
0.2500 0.0000 0.7625
0.7500 0.0000 0.2375
0.7500 0.2375 0.0000
0.2500 0.7625 0.0000
0.2500 0.2375 0.2375
0.5000 0.3333 0.6667
0.0000 0.6667 0.3333
0.5000 0.6667 0.3333
0.7500 0.5949 0.0000
0.2500 0.4051 0.0000
0.2500 0.5949 0.5949
0.7500 0.0000 0.5949
0.7500 0.4051 0.4051
0.2500 0.0000 0.4051
0.0000 0.0000 0.0000
0.5000 0.0000 0.0000
```

---

Entry 5:
Computed, not measured: a geometry-optimized ScNbPt2O structure at the GGA-PBEsol level of DFT.

Geometry as POSCAR:
```
ScNbPt2O
1.0
-2.3492 -2.0193 2.5459
3.4962 -2.3095 1.3943
0.7642 3.0367 3.1138
Sc Nb O Pt
1 1 1 2
Direct
0.5000 0.5000 0.5000
0.5000 0.0000 0.0000
0.0000 0.0000 0.0000
0.0000 0.0000 0.5000
0.0000 0.5000 0.0000
```

---

Entry 6:
Computed, not measured: a geometry-optimized Rb4Nb11O30 structure at the GGA-PBEsol level of DFT.

Geometry as POSCAR:
```
Rb4Nb11O30
1.0
-4.1363 3.5577 -5.2229
-7.1938 -2.0049 -1.1296
-8.0595 10.2417 7.8980
Rb Nb O
4 11 30
Direct
0.2752 0.2752 0.1745
0.7248 0.7248 0.8255
0.5457 0.5457 0.3629
0.4543 0.4543 0.6371
0.3036 0.8046 0.0872
0.8046 0.8046 0.0872
0.8046 0.3036 0.0872
0.6964 0.1954 0.9128
0.1954 0.1954 0.9128
0.1954 0.6964 0.9128
0.9002 0.9002 0.2995
0.0998 0.0998 0.7005
0.0000 0.0000 0.5000
0.0000 0.5000 0.5000
0.5000 0.0000 0.5000
0.1774 0.8073 0.2080
0.8073 0.8073 0.2080
0.8073 0.1774 0.2080
0.8226 0.1927 0.7920
0.1927 0.1927 0.7920
0.1927 0.8226 0.7920
0.0015 0.0015 0.3683
0.0015 0.6286 0.3683
0.6286 0.0015 0.3683
0.9985 0.3714 0.6317
0.3714 0.9985 0.6317
0.9985 0.9985 0.6317
0.1233 0.1233 0.0583
0.1233 0.6952 0.0583
0.6952 0.1233 0.0583
0.8767 0.3048 0.9417
0.3048 0.8767 0.9417
0.8767 0.8767 0.9417
0.8685 0.5199 0.0917
0.5199 0.5199 0.0917
0.5199 0.8685 0.0917
0.1315 0.4801 0.9083
0.4801 0.4801 0.9083
0.4801 0.1315 0.9083
0.0747 0.7009 0.5235
0.7009 0.7009 0.5235
0.7009 0.0747 0.5235
0.9253 0.2991 0.4765
0.2991 0.2991 0.4765
0.2991 0.9253 0.4765
```

---

Entry 7:
Computed, not measured: a geometry-optimized RbNbO3 structure at the GGA-PBEsol level of DFT.

Geometry as POSCAR:
```
RbNbO3
1.0
6.4585 -0.0013 0.0263
0.7936 6.4096 0.0263
0.5230 0.4621 8.0911
Rb Nb O
4 4 12
Direct
0.3398 0.3398 0.2296
0.7619 0.2381 0.5000
0.2381 0.7619 0.5000
0.6602 0.6602 0.7704
0.2594 0.2594 0.7978
0.8110 0.1890 0.0000
0.1890 0.8110 0.0000
0.7406 0.7406 0.2022
0.1229 0.1229 0.0519
0.3323 0.3323 0.5825
0.7108 0.0479 0.2162
0.0479 0.7108 0.2162
0.2274 0.5474 0.8950
0.5474 0.2274 0.8950
0.7726 0.4526 0.1050
0.4526 0.7726 0.1050
0.2892 0.9521 0.7838
0.9521 0.2892 0.7838
0.6677 0.6677 0.4175
0.8771 0.8771 0.9481
```

---

Entry 8:
Computed, not measured: a geometry-optimized RbNbO3 structure at the GGA-PBEsol level of DFT.

Geometry as POSCAR:
```
RbNbO3
1.0
4.0552 0.0000 0.0000
0.0000 4.0552 0.0000
0.0000 0.0000 4.0552
Nb Rb O
1 1 3
Direct
0.0000 0.0000 0.0000
0.5000 0.5000 0.5000
0.0000 0.5000 0.0000
0.0000 0.0000 0.5000
0.5000 0.0000 0.0000
```

---

Entry 9:
Computed, not measured: a geometry-optimized Rb4Nb2Si8O23 structure at the GGA-PBEsol level of DFT.

Geometry as POSCAR:
```
Rb4Nb2Si8O23
1.0
6.9199 0.0141 0.0257
2.4927 7.4434 0.0323
0.2062 2.7320 10.7429
O Nb Si Rb
23 2 8 4
Direct
0.5418 0.9816 0.7518
0.4582 0.0184 0.2482
0.3660 0.3231 0.7829
0.6340 0.6769 0.2171
0.3851 0.2762 0.5523
0.6149 0.7238 0.4477
0.7097 0.2545 0.6713
0.2903 0.7455 0.3287
0.0225 0.0747 0.2087
0.9775 0.9253 0.7913
0.9819 0.7550 0.1918
0.0181 0.2450 0.8082
0.9197 0.8601 0.4066
0.0803 0.1399 0.5934
0.0000 0.5000 0.5000
0.1685 0.2627 0.3618
0.8315 0.7373 0.6382
0.9451 0.4518 0.1365
0.0549 0.5482 0.8635
0.7604 0.7931 0.9906
0.2396 0.2069 0.0094
0.3797 0.3977 0.1520
0.6203 0.6023 0.8480
0.2176 0.2554 0.1823
0.7824 0.7446 0.8177
0.5011 0.1990 0.6922
0.4989 0.8010 0.3078
0.0513 0.8656 0.2809
0.9487 0.1344 0.7191
0.1579 0.2970 0.4977
0.8421 0.7030 0.5023
0.8331 0.6686 0.1309
0.1669 0.3314 0.8691
0.6913 0.2764 0.3492
0.3087 0.7236 0.6508
0.7027 0.2258 0.0056
0.2973 0.7742 0.9944
```

---

Entry 10:
Computed, not measured: a geometry-optimized RbSr2Nb3O10 structure at the GGA-PBEsol level of DFT.

Geometry as POSCAR:
```
RbSr2Nb3O10
1.0
-2.9957 -0.9389 -2.4018
1.0790 -3.8001 0.1397
-9.0242 -2.1180 12.0833
Rb Sr Nb O
1 2 3 10
Direct
0.5000 0.5000 0.5000
0.5000 0.5000 0.1463
0.5000 0.5000 0.8537
0.0000 0.0000 0.0000
0.0000 0.0000 0.2854
0.0000 0.0000 0.7146
0.0000 0.0000 0.5971
0.0000 0.0000 0.4029
0.5000 0.0000 0.7420
0.0000 0.5000 0.7420
0.5000 0.0000 0.2580
0.0000 0.5000 0.2580
0.0000 0.5000 0.0000
0.5000 0.0000 0.0000
0.0000 0.0000 0.1293
0.0000 0.0000 0.8707
```

---

Entry 11:
Computed, not measured: a geometry-optimized RbTi3NbO9 structure at the GGA-PBEsol level of DFT.

Geometry as POSCAR:
```
RbTi3NbO9
1.0
-0.0584 2.4631 -2.9051
3.9233 -3.8114 -3.3104
-11.8393 -7.1375 -5.8135
Rb Ti Nb O
2 6 2 18
Direct
0.5000 0.2210 0.2469
0.0000 0.7790 0.7469
0.0000 0.3065 0.4635
0.0000 0.3174 0.0453
0.5000 0.6826 0.5453
0.5000 0.6935 0.9635
0.0000 0.7667 0.1214
0.5000 0.2333 0.6214
0.0000 0.7578 0.3691
0.5000 0.2422 0.8691
0.0000 0.6548 0.9906
0.0000 0.6448 0.5110
0.5000 0.3552 0.0110
0.5000 0.3452 0.4906
0.0000 0.0559 0.4118
0.0000 0.0633 0.0927
0.5000 0.9367 0.5927
0.5000 0.9441 0.9118
0.0000 0.8279 0.2475
0.5000 0.1721 0.7475
0.0000 0.4558 0.3547
0.0000 0.4715 0.1465
0.5000 0.5285 0.6465
0.5000 0.5442 0.8547
0.0000 0.2442 0.9034
0.0000 0.2358 0.5955
0.5000 0.7642 0.0955
0.5000 0.7558 0.4034
```

---

Entry 12:
Computed, not measured: a geometry-optimized RbTiNbO5 structure at the GGA-PBEsol level of DFT.

Geometry as POSCAR:
```
RbTiNbO5
1.0
-3.2291 0.1577 2.0336
3.2348 -1.8376 5.2790
3.5133 18.1634 4.1698
Rb Ti Nb O
4 4 4 20
Direct
0.7500 0.7162 0.3070
0.7500 0.2162 0.1930
0.2500 0.2838 0.6930
0.2500 0.7838 0.8070
0.7500 0.1782 0.5325
0.7500 0.6782 0.9675
0.2500 0.8218 0.4675
0.2500 0.3218 0.0325
0.7500 0.7259 0.6066
0.7500 0.2259 0.8934
0.2500 0.2741 0.3934
0.2500 0.7741 0.1066
0.7500 0.2636 0.4234
0.7500 0.7636 0.0766
0.2500 0.7364 0.5766
0.2500 0.2364 0.9234
0.7500 0.6559 0.6988
0.7500 0.1559 0.8012
0.2500 0.3441 0.3012
0.2500 0.8441 0.1988
0.7500 0.0327 0.6172
0.7500 0.5327 0.8828
0.2500 0.9673 0.3828
0.2500 0.4673 0.1172
0.7500 0.4318 0.5700
0.7500 0.9318 0.9300
0.2500 0.5682 0.4300
0.2500 0.0682 0.0700
0.7500 0.8575 0.4897
0.7500 0.3575 0.0103
0.2500 0.1425 0.5103
0.2500 0.6425 0.9897
```

---

Number 1: ρ 6.59 Mg/m³, uncorrected energy -8.924 eV per atom, raw formation energy -3186 meV/atom. Number 2: ρ 5.21 Mg/m³, uncorrected energy -8.600 eV per atom, raw formation energy -2728 meV/atom. Number 3: ρ 3.22 Mg/m³, uncorrected energy -7.154 eV per atom, raw formation energy -1784 meV/atom. Number 4: ρ 12.81 Mg/m³, uncorrected energy -9.787 eV per atom, raw formation energy -871 meV/atom. Number 5: ρ 11.55 Mg/m³, uncorrected energy -7.831 eV per atom, raw formation energy -511 meV/atom. Number 6: ρ 4.24 Mg/m³, uncorrected energy -8.687 eV per atom, raw formation energy -2451 meV/atom. Number 7: ρ 4.49 Mg/m³, uncorrected energy -7.922 eV per atom, raw formation energy -2403 meV/atom. Number 8: ρ 5.64 Mg/m³, uncorrected energy -7.908 eV per atom, raw formation energy -2389 meV/atom. Number 9: ρ 3.37 Mg/m³, uncorrected energy -7.876 eV per atom, raw formation energy -2674 meV/atom. Number 10: ρ 4.88 Mg/m³, uncorrected energy -8.329 eV per atom, raw formation energy -2725 meV/atom. Number 11: ρ 4.24 Mg/m³, uncorrected energy -8.845 eV per atom, raw formation energy -2841 meV/atom. Number 12: ρ 4.35 Mg/m³, uncorrected energy -8.479 eV per atom, raw formation energy -2677 meV/atom.